CaAs2RhSe GGA-PBE relaxed; offset from the most stable computed form = 0.0 kJ per mole of atoms; volume = 121.9 Å³ per cell; SG = P4/mmm (123)
1.0
4.6970 0.0000 0.0000
0.0000 4.6970 0.0000
0.0000 0.0000 5.5271
As Ca Se Rh
2 1 1 1
direct
0.5000 0.0000 0.0000
0.0000 0.5000 0.0000
0.5000 0.5000 0.5000
0.0000 0.0000 0.5000
0.0000 0.0000 0.0000